No. 1
A relaxed Dy2HgBi crystal, computed with GGA-PBE.

Cell and atoms, written as POSCAR:
```
Dy2HgBi
1.0
2.126 1.227 7.846
-2.126 1.227 7.846
0.000 -2.455 7.846
Dy Hg Bi
2 1 1
direct
0.000 0.000 0.000
0.170 0.170 0.170
0.753 0.753 0.753
0.585 0.585 0.585
```

Output
SG	R3m
energy above the lowest structure with this stoichiometry	0.55	eV/f.u.
total energy	-3.813	eV per atom
formation enthalpy at 0 K	-0.47	eV per atom



No. 2
A relaxed Dy3HgBi2 crystal, computed with GGA-PBE.

Cell and atoms, written as POSCAR:
```
Dy3HgBi2
1.0
3.880 -6.866 0.000
3.880 6.866 0.000
-2.695 0.000 6.934
Dy Hg Bi
6 2 4
direct
0.000 0.500 0.500
0.164 0.335 0.005
0.335 0.164 0.505
0.500 0.000 0.000
0.665 0.836 0.495
0.836 0.665 0.995
0.418 0.582 0.750
0.582 0.418 0.250
0.082 0.918 0.750
0.249 0.751 0.250
0.751 0.249 0.750
0.918 0.082 0.250
```

Output
SG	C2/c
total energy	-4.246	eV per atom
formation enthalpy at 0 K	-0.60	eV per atom



No. 3
A relaxed DyHg2Bi crystal, computed with GGA-PBE.

Cell and atoms, written as POSCAR:
```
DyHg2Bi
1.0
1.733 1.000 11.634
-1.733 1.000 11.634
0.000 -2.001 11.634
Dy Hg Bi
1 2 1
direct
0.000 0.000 0.000
0.087 0.087 0.087
0.913 0.913 0.913
0.500 0.500 0.500
```

Output
SG	R-3m
total energy	-2.167	eV per atom
formation enthalpy at 0 K	0.10	eV per atom



No. 4
A relaxed Dy8Hg2Bi crystal, computed with GGA-PBE.

Cell and atoms, written as POSCAR:
```
Dy8Hg2Bi
1.0
4.370 -7.114 0.000
4.370 7.114 0.000
-1.840 0.000 5.335
Dy Hg Bi
8 2 1
direct
0.090 0.322 0.613
0.233 0.767 0.000
0.322 0.090 0.613
0.402 0.402 0.203
0.598 0.598 0.797
0.678 0.910 0.387
0.767 0.233 0.000
0.910 0.678 0.387
0.305 0.695 0.500
0.695 0.305 0.500
0.000 0.000 0.000
```

Output
SG	C2/m
total energy	-3.950	eV per atom
formation enthalpy at 0 K	-0.20	eV per atom



No. 5
A relaxed Dy7Hg2Bi2 crystal, computed with GGA-PBE.

Cell and atoms, written as POSCAR:
```
Dy7Hg2Bi2
1.0
4.762 -5.504 0.000
4.762 5.504 0.000
0.000 0.000 6.937
Dy Hg Bi
7 2 2
direct
0.000 0.000 0.000
0.000 0.500 0.254
0.000 0.500 0.746
0.500 0.000 0.254
0.500 0.000 0.746
0.500 0.500 0.248
0.500 0.500 0.752
0.275 0.725 0.000
0.725 0.275 0.000
0.199 0.199 0.500
0.801 0.801 0.500
```

Output
SG	Cmmm
total energy	-3.863	eV per atom
formation enthalpy at 0 K	-0.17	eV per atom



No. 6
A relaxed DyHgBi2 crystal, computed with GGA-PBE.

Cell and atoms, written as POSCAR:
```
DyHgBi2
1.0
4.240 0.000 0.000
0.000 4.240 0.000
0.000 0.000 6.585
Dy Hg Bi
1 1 2
direct
0.000 0.000 0.000
0.000 0.000 0.500
0.500 0.500 0.232
0.500 0.500 0.768
```

Output
SG	P4/mmm
energy above the lowest structure with this stoichiometry	0.00	eV/f.u.
total energy	-3.537	eV per atom
formation enthalpy at 0 K	-0.37	eV per atom



No. 7
A relaxed Dy5Hg2Bi2 crystal, computed with GGA-PBE.

Cell and atoms, written as POSCAR:
```
Dy5Hg2Bi2
1.0
7.926 -4.078 0.000
7.926 4.078 0.000
0.000 0.000 8.069
Dy Hg Bi
10 4 4
direct
0.000 0.000 0.000
0.036 0.701 0.664
0.201 0.536 0.164
0.299 0.964 0.664
0.464 0.799 0.164
0.500 0.500 0.500
0.536 0.201 0.836
0.701 0.036 0.336
0.799 0.464 0.836
0.964 0.299 0.336
0.134 0.866 0.368
0.366 0.634 0.868
0.634 0.366 0.132
0.866 0.134 0.632
0.206 0.206 0.000
0.294 0.294 0.500
0.706 0.706 0.500
0.794 0.794 0.000
```

Output
SG	Cmce
total energy	-4.089	eV per atom
formation enthalpy at 0 K	-0.60	eV per atom



No. 8
A relaxed Dy2HgBi crystal, computed with GGA-PBE.

Cell and atoms, written as POSCAR:
```
Dy2HgBi
1.0
0.000 3.801 3.801
3.801 0.000 3.801
3.801 3.801 0.000
Dy Hg Bi
2 1 1
direct
0.250 0.250 0.250
0.750 0.750 0.750
0.000 0.000 0.000
0.500 0.500 0.500
```

Output
SG	Fm-3m
energy above the lowest structure with this stoichiometry	0.45	eV/f.u.
total energy	-3.838	eV per atom
formation enthalpy at 0 K	-0.49	eV per atom



No. 9
A relaxed Dy2HgBi crystal, computed with GGA-PBE.

Cell and atoms, written as POSCAR:
```
Dy2HgBi
1.0
2.157 1.245 7.524
-2.157 1.245 7.524
0.000 -2.491 7.524
Dy Hg Bi
2 1 1
direct
0.250 0.250 0.250
0.750 0.750 0.750
0.500 0.500 0.500
0.000 0.000 0.000
```

Output
SG	R-3m
energy above the lowest structure with this stoichiometry	0.33	eV/f.u.
total energy	-3.868	eV per atom
formation enthalpy at 0 K	-0.52	eV per atom



No. 10
A relaxed DyHgBi2 crystal, computed with GGA-PBE.

Cell and atoms, written as POSCAR:
```
DyHgBi2
1.0
4.827 0.000 0.000
0.000 4.827 0.000
0.000 0.000 4.848
Dy Hg Bi
1 1 2
direct
0.000 0.000 0.000
0.500 0.500 0.000
0.000 0.500 0.500
0.500 0.000 0.500
```

Output
SG	P4/mmm
energy above the lowest structure with this stoichiometry	0.02	eV/f.u.
total energy	-3.532	eV per atom
formation enthalpy at 0 K	-0.37	eV per atom



No. 11
A relaxed DyHgBi2 crystal, computed with GGA-PBE.

Cell and atoms, written as POSCAR:
```
DyHgBi2
1.0
2.267 1.309 9.160
-2.267 1.309 9.160
0.000 -2.617 9.160
Dy Hg Bi
1 1 2
direct
0.000 0.000 0.000
0.500 0.500 0.500
0.397 0.397 0.397
0.603 0.603 0.603
```

Output
SG	R-3m
energy above the lowest structure with this stoichiometry	1.13	eV/f.u.
total energy	-3.254	eV per atom
formation enthalpy at 0 K	-0.09	eV per atom



No. 12
A relaxed Dy5HgBi4 crystal, computed with GGA-PBE.

Cell and atoms, written as POSCAR:
```
Dy5HgBi4
1.0
-4.977 4.977 3.144
4.977 -4.977 3.144
4.977 4.977 -3.144
Dy Hg Bi
5 1 4
direct
0.000 0.000 0.000
0.197 0.603 0.802
0.395 0.197 0.594
0.603 0.801 0.406
0.801 0.395 0.198
0.500 0.500 0.000
0.098 0.299 0.399
0.299 0.900 0.201
0.699 0.098 0.799
0.900 0.699 0.601
```

Output
SG	I4
total energy	-4.578	eV per atom
formation enthalpy at 0 K	-0.69	eV per atom



No. 13
A relaxed Dy2HgBi crystal, computed with GGA-PBE.

Cell and atoms, written as POSCAR:
```
Dy2HgBi
1.0
2.095 -12.065 0.000
2.095 12.065 0.000
0.000 0.000 4.639
Dy Hg Bi
4 2 2
direct
0.062 0.938 0.750
0.322 0.678 0.750
0.678 0.322 0.250
0.938 0.062 0.250
0.456 0.544 0.750
0.544 0.456 0.250
0.191 0.809 0.750
0.809 0.191 0.250
```

Output
SG	Cmcm
energy above the lowest structure with this stoichiometry	0.00	eV/f.u.
total energy	-3.951	eV per atom
formation enthalpy at 0 K	-0.60	eV per atom



No. 14
A relaxed Dy5HgBi5 crystal, computed with GGA-PBE.

Cell and atoms, written as POSCAR:
```
Dy5HgBi5
1.0
6.753 -3.125 0.000
6.753 3.125 0.000
-3.012 0.000 8.682
Dy Hg Bi
5 1 5
direct
0.000 0.000 0.000
0.321 0.321 0.174
0.327 0.327 0.654
0.673 0.673 0.346
0.679 0.679 0.826
0.500 0.500 0.000
0.146 0.146 0.339
0.163 0.163 0.826
0.500 0.500 0.500
0.837 0.837 0.174
0.854 0.854 0.661
```

Output
SG	C2/m
total energy	-4.384	eV per atom
formation enthalpy at 0 K	-0.50	eV per atom



No. 15
A relaxed Dy4HgBi2 crystal, computed with GGA-PBE.

Cell and atoms, written as POSCAR:
```
Dy4HgBi2
1.0
7.883 -2.118 0.000
7.883 2.118 0.000
-3.533 0.000 6.719
Dy Hg Bi
4 1 2
direct
0.109 0.109 0.251
0.382 0.382 0.175
0.618 0.618 0.825
0.891 0.891 0.749
0.000 0.000 0.500
0.240 0.240 0.726
0.760 0.760 0.274
```

Output
SG	C2/m
total energy	-4.213	eV per atom
formation enthalpy at 0 K	-0.43	eV per atom



No. 16
A relaxed Dy2HgBi crystal, computed with GGA-PBE.

Cell and atoms, written as POSCAR:
```
Dy2HgBi
1.0
3.977 0.000 0.000
0.000 3.977 0.000
0.000 0.000 6.922
Dy Hg Bi
2 1 1
direct
0.000 0.000 0.249
0.000 0.000 0.751
0.500 0.500 0.000
0.500 0.500 0.500
```

Output
SG	P4/mmm
energy above the lowest structure with this stoichiometry	0.22	eV/f.u.
total energy	-3.896	eV per atom
formation enthalpy at 0 K	-0.55	eV per atom



No. 17
A relaxed Dy4HgBi crystal, computed with GGA-PBE.

Cell and atoms, written as POSCAR:
```
Dy4HgBi
1.0
8.545 0.000 0.000
0.000 4.094 0.000
0.000 0.000 19.972
Dy Hg Bi
16 4 4
direct
0.021 0.250 0.071
0.024 0.250 0.785
0.127 0.250 0.562
0.152 0.250 0.343
0.348 0.750 0.843
0.373 0.750 0.062
0.476 0.750 0.285
0.479 0.750 0.571
0.521 0.250 0.429
0.524 0.250 0.715
0.627 0.250 0.938
0.652 0.250 0.157
0.848 0.750 0.657
0.873 0.750 0.438
0.976 0.750 0.215
0.979 0.750 0.929
0.245 0.750 0.450
0.255 0.250 0.950
0.745 0.750 0.050
0.755 0.250 0.550
0.223 0.750 0.688
0.277 0.250 0.188
0.723 0.750 0.812
0.777 0.250 0.312
```

Output
SG	Pnma
energy above the lowest structure with this stoichiometry	0.00	eV/f.u.
total energy	-4.193	eV per atom
formation enthalpy at 0 K	-0.43	eV per atom



No. 18
A relaxed Dy3HgBi crystal, computed with GGA-PBE.

Cell and atoms, written as POSCAR:
```
Dy3HgBi
1.0
4.159 0.000 0.000
0.000 6.764 0.000
0.000 0.000 10.731
Dy Hg Bi
6 2 2
direct
0.250 0.004 0.190
0.250 0.250 0.584
0.250 0.496 0.190
0.750 0.504 0.810
0.750 0.750 0.416
0.750 0.996 0.810
0.250 0.250 0.947
0.750 0.750 0.053
0.250 0.750 0.639
0.750 0.250 0.361
```

Output
SG	Pmmn
total energy	-4.015	eV per atom
formation enthalpy at 0 K	-0.42	eV per atom



No. 19
A relaxed DyHg2Bi crystal, computed with GGA-PBE.

Cell and atoms, written as POSCAR:
```
DyHg2Bi
1.0
3.819 0.000 0.000
0.000 3.819 0.000
0.000 0.000 7.303
Dy Hg Bi
1 2 1
direct
0.000 0.000 0.000
0.500 0.500 0.243
0.500 0.500 0.757
0.000 0.000 0.500
```

Output
SG	P4/mmm
total energy	-2.517	eV per atom
formation enthalpy at 0 K	-0.25	eV per atom



No. 20
A relaxed Dy2Hg5Bi crystal, computed with GGA-PBE.

Cell and atoms, written as POSCAR:
```
Dy2Hg5Bi
1.0
6.736 0.000 0.000
0.000 13.461 0.000
0.000 0.000 4.443
Dy Hg Bi
4 10 2
direct
0.231 0.120 0.000
0.269 0.620 0.000
0.731 0.380 0.000
0.769 0.880 0.000
0.000 0.500 0.500
0.037 0.745 0.500
0.218 0.364 0.000
0.282 0.864 0.000
0.463 0.245 0.500
0.500 0.000 0.500
0.537 0.755 0.500
0.718 0.136 0.000
0.782 0.636 0.000
0.963 0.255 0.500
0.000 0.000 0.500
0.500 0.500 0.500
```

Output
SG	Pbam
total energy	-2.192	eV per atom
formation enthalpy at 0 K	-0.37	eV per atom



No. 21
A relaxed Dy4HgBi crystal, computed with GGA-PBE.

Cell and atoms, written as POSCAR:
```
Dy4HgBi
1.0
4.322 -6.597 0.000
4.322 6.597 0.000
-2.000 0.000 6.269
Dy Hg Bi
8 2 2
direct
0.094 0.715 0.945
0.206 0.395 0.594
0.285 0.906 0.555
0.395 0.206 0.094
0.605 0.794 0.906
0.715 0.094 0.445
0.794 0.605 0.406
0.906 0.285 0.055
0.006 0.994 0.250
0.994 0.006 0.750
0.387 0.613 0.250
0.613 0.387 0.750
```

Output
SG	C2/c
energy above the lowest structure with this stoichiometry	0.34	eV/f.u.
total energy	-4.137	eV per atom
formation enthalpy at 0 K	-0.37	eV per atom



No. 22
A relaxed DyHoHgBi crystal, computed with GGA-PBE.

Cell and atoms, written as POSCAR:
```
DyHoHgBi
1.0
0.000 3.797 3.797
3.797 0.000 3.797
3.797 3.797 0.000
Dy Ho Hg Bi
1 1 1 1
direct
0.000 0.000 0.000
0.500 0.500 0.500
0.250 0.250 0.250
0.750 0.750 0.750
```

Output
SG	F-43m
total energy	-3.823	eV per atom
formation enthalpy at 0 K	-0.48	eV per atom



No. 23
A relaxed DyInHgBi crystal, computed with GGA-PBE.

Cell and atoms, written as POSCAR:
```
DyInHgBi
1.0
0.000 3.826 3.826
3.826 0.000 3.826
3.826 3.826 0.000
Dy In Hg Bi
1 1 1 1
direct
0.000 0.000 0.000
0.500 0.500 0.500
0.250 0.250 0.250
0.750 0.750 0.750
```

Output
SG	F-43m
energy above the lowest structure with this stoichiometry	0.51	eV/f.u.
total energy	-3.127	eV per atom
formation enthalpy at 0 K	-0.25	eV per atom



No. 24
A relaxed DyInHgBi crystal, computed with GGA-PBE.

Cell and atoms, written as POSCAR:
```
DyInHgBi
1.0
4.508 0.000 0.000
0.000 4.633 0.000
0.000 0.000 5.089
Dy In Hg Bi
1 1 1 1
direct
0.000 0.000 0.000
0.000 0.500 0.500
0.500 0.000 0.500
0.500 0.500 0.000
```

Output
SG	Pmmm
energy above the lowest structure with this stoichiometry	0.00	eV/f.u.
total energy	-3.255	eV per atom
formation enthalpy at 0 K	-0.37	eV per atom